The following is a DFT calculation (PBE-GGA) of crystalline Th2ZnSn3Rh4 at its relaxed geometry.

Cell lengths 4.324, 4.324, 11.189 Å; angles 90.00, 90.00, 90.00 degrees
Element x y z (fractional)
Th (0.000, 0.500, 0.238)
Th (0.500, 0.000, 0.762)
Zn (0.500, 0.500, 0.000)
Sn (0.000, 0.000, 0.000)
Sn (0.000, 0.500, 0.631)
Sn (0.500, 0.000, 0.369)
Rh (0.000, 0.000, 0.500)
Rh (0.000, 0.500, 0.861)
Rh (0.500, 0.000, 0.139)
Rh (0.500, 0.500, 0.500)

## Properties
As for the total magnetization: 0.0 μB/f.u. The formation energy is -0.65 eV per atom. The energy is -6.41 eV per atom. The calculation puts the density of states at the Fermi level at 7.31 states/eV per cell.

The following is a DFT calculation (PBE-GGA) of crystalline PmSm3Er7 at its relaxed geometry.

Cell lengths 8.405, 8.405, 8.405 Å; angles 139.66, 97.07, 96.58 degrees
Element x y z (fractional)
Pm (0.000, 0.000, 0.000)
Sm (0.290, 0.790, 0.500)
Sm (0.500, 0.500, 0.000)
Sm (0.710, 0.210, 0.500)
Er (0.000, 0.500, 0.500)
Er (0.097, 0.307, 0.790)
Er (0.295, 0.000, 0.295)
Er (0.483, 0.693, 0.790)
Er (0.517, 0.307, 0.210)
Er (0.705, 0.000, 0.705)
Er (0.903, 0.693, 0.210)

## Properties
As for the total magnetization: 0.0 μB/f.u. The formation energy is 0.26 eV per atom. The energy is -4.36 eV per atom. The calculation puts the density of states at the Fermi level at 15.91 states/eV per cell.

The following is a DFT calculation (PBE-GGA) of crystalline Pm2PrSn4 at its relaxed geometry.

Cell lengths 8.193, 8.193, 8.193 Å; angles 111.59, 111.59, 105.32 degrees
Element x y z (fractional)
Pm (0.007, 0.625, 0.882)
Pm (0.375, 0.257, 0.382)
Pm (0.743, 0.125, 0.118)
Pm (0.875, 0.993, 0.618)
Pr (0.250, 0.750, 0.500)
Pr (0.500, 0.500, 0.000)
Sn (0.103, 0.362, 0.074)
Sn (0.112, 0.353, 0.574)
Sn (0.288, 0.029, 0.926)
Sn (0.462, 0.888, 0.241)
Sn (0.638, 0.712, 0.741)
Sn (0.647, 0.221, 0.759)
Sn (0.779, 0.538, 0.426)
Sn (0.971, 0.897, 0.259)

## Properties
As for the total magnetization: 0.0 μB/f.u. The formation energy is -0.56 eV per atom. The energy is -4.88 eV per atom. The calculation puts the density of states at the Fermi level at 11.40 states/eV per cell.

The following is a DFT calculation (PBE-GGA) of crystalline Pr12Er6Tm at its relaxed geometry.

Cell lengths 9.291, 9.291, 9.291 Å; angles 106.52, 106.52, 106.52 degrees
Element x y z (fractional)
Pr (0.132, 0.828, 0.276)
Pr (0.172, 0.724, 0.868)
Pr (0.192, 0.583, 0.484)
Pr (0.276, 0.132, 0.828)
Pr (0.417, 0.516, 0.808)
Pr (0.484, 0.192, 0.583)
Pr (0.516, 0.808, 0.417)
Pr (0.583, 0.484, 0.192)
Pr (0.724, 0.868, 0.172)
Pr (0.808, 0.417, 0.516)
Pr (0.828, 0.276, 0.132)
Pr (0.868, 0.172, 0.724)
Er (0.077, 0.190, 0.456)
Er (0.190, 0.456, 0.077)
Er (0.456, 0.077, 0.190)
Er (0.544, 0.923, 0.810)
Er (0.810, 0.544, 0.923)
Er (0.923, 0.810, 0.544)
Tm (0.000, 0.000, 0.000)

## Properties
As for the total magnetization: 0.0 μB/f.u. The formation energy is 0.24 eV per atom. The energy is -4.46 eV per atom. The calculation puts the density of states at the Fermi level at 28.39 states/eV per cell.

The following is a DFT calculation (PBE-GGA) of crystalline CaEuHoAl at its relaxed geometry.

Cell lengths 5.497, 5.497, 5.497 Å; angles 60.00, 60.00, 60.00 degrees
Element x y z (fractional)
Ca (0.000, 0.000, 0.000)
Eu (0.750, 0.750, 0.750)
Ho (0.250, 0.250, 0.250)
Al (0.500, 0.500, 0.500)

## Properties
As for the total magnetization: 7.2 μB/f.u. The formation energy is -0.02 eV per atom. The energy is -5.17 eV per atom. The calculation puts the density of states at the Fermi level at 7.52 states/eV per cell.

The following is a DFT calculation (PBE-GGA) of crystalline RbHgIr2 at its relaxed geometry.

Cell lengths 10.451, 10.451, 10.451 Å; angles 153.97, 153.97, 37.14 degrees
Element x y z (fractional)
Rb (0.000, 0.000, 0.000)
Rb (0.750, 0.250, 0.500)
Hg (0.250, 0.750, 0.500)
Hg (0.500, 0.500, 0.000)
Ir (0.298, 0.625, 0.173)
Ir (0.375, 0.548, 0.673)
Ir (0.452, 0.125, 0.827)
Ir (0.875, 0.702, 0.327)

## Properties
As for the total magnetization: 0.0 μB/f.u. The formation energy is 0.74 eV per atom. The energy is -4.01 eV per atom. The calculation puts the density of states at the Fermi level at 3.12 states/eV per cell.

The following is a DFT calculation (PBE-GGA) of crystalline Tm6FeSn at its relaxed geometry.

Cell lengths 6.199, 6.199, 6.155 Å; angles 99.57, 99.57, 101.20 degrees
Element x y z (fractional)
Tm (0.084, 0.708, 0.713)
Tm (0.287, 0.287, 0.898)
Tm (0.292, 0.916, 0.287)
Tm (0.708, 0.084, 0.713)
Tm (0.713, 0.713, 0.102)
Tm (0.916, 0.292, 0.287)
Fe (0.000, 0.000, 0.000)
Sn (0.500, 0.500, 0.500)

## Properties
As for the total magnetization: 0.0 μB/f.u. The formation energy is -0.04 eV per atom. The energy is -4.96 eV per atom. The calculation puts the density of states at the Fermi level at 10.39 states/eV per cell.

The following is a DFT calculation (PBE-GGA) of crystalline LiAcCuAg at its relaxed geometry.

Cell lengths 5.177, 5.177, 5.177 Å; angles 60.00, 60.00, 60.00 degrees
Element x y z (fractional)
Li (0.000, 0.000, 0.000)
Ac (0.500, 0.500, 0.500)
Cu (0.750, 0.750, 0.750)
Ag (0.250, 0.250, 0.250)

## Properties
As for the total magnetization: 0.0 μB/f.u. The formation energy is -0.04 eV per atom. The energy is -3.29 eV per atom. The calculation puts the density of states at the Fermi level at 2.10 states/eV per cell.

The following is a DFT calculation (PBE-GGA) of crystalline Li2La2Mg at its relaxed geometry.

Cell lengths 7.108, 7.108, 5.426 Å; angles 90.00, 90.00, 90.00 degrees
Element x y z (fractional)
Li (0.128, 0.372, 0.000)
Li (0.372, 0.872, 0.000)
Li (0.628, 0.128, 0.000)
Li (0.872, 0.628, 0.000)
La (0.176, 0.676, 0.500)
La (0.324, 0.176, 0.500)
La (0.676, 0.824, 0.500)
La (0.824, 0.324, 0.500)
Mg (0.000, 0.000, 0.000)
Mg (0.500, 0.500, 0.000)

## Properties
As for the total magnetization: 0.0 μB/f.u. The formation energy is 0.04 eV per atom. The energy is -3.01 eV per atom. The calculation puts the density of states at the Fermi level at 6.59 states/eV per cell.

The following is a DFT calculation (PBE-GGA) of crystalline CdAuCl2 at its relaxed geometry.

Cell lengths 8.876, 8.876, 8.876 Å; angles 24.68, 24.68, 24.68 degrees
Element x y z (fractional)
Cd (0.000, 0.000, 0.000)
Au (0.500, 0.500, 0.500)
Cl (0.409, 0.409, 0.409)
Cl (0.591, 0.591, 0.591)

## Properties
As for the total magnetization: 0.0 μB/f.u. The calculation puts the formation energy without anion corrections at -277.0 meV/atom. The energy is -2.25 eV per atom. The calculation puts the density of states at the Fermi level at 1.51 states/eV per cell.

The following is a DFT calculation (PBE-GGA) of crystalline RbNi3S3 at its relaxed geometry.

Cell lengths 6.309, 6.309, 6.309 Å; angles 90.00, 90.00, 90.00 degrees
Element x y z (fractional)
Rb (0.000, 0.000, 0.000)
Rb (0.500, 0.500, 0.500)
Ni (0.000, 0.250, 0.500)
Ni (0.000, 0.750, 0.500)
Ni (0.250, 0.500, 0.000)
Ni (0.500, 0.000, 0.250)
Ni (0.500, 0.000, 0.750)
Ni (0.750, 0.500, 0.000)
S (0.000, 0.500, 0.250)
S (0.000, 0.500, 0.750)
S (0.250, 0.000, 0.500)
S (0.500, 0.250, 0.000)
S (0.500, 0.750, 0.000)
S (0.750, 0.000, 0.500)

## Properties
As for the total magnetization: 0.0 μB/f.u. The calculation puts the formation energy without anion corrections at -519.8 meV/atom. The energy is -4.90 eV per atom. The calculation puts the density of states at the Fermi level at 12.69 states/eV per cell.

The following is a DFT calculation (PBE-GGA) of crystalline Na3TiBe at its relaxed geometry.

Cell lengths 5.245, 5.245, 5.245 Å; angles 90.00, 90.00, 90.00 degrees
Element x y z (fractional)
Na (0.000, 0.000, 0.500)
Na (0.000, 0.500, 0.000)
Na (0.500, 0.000, 0.000)
Ti (0.500, 0.500, 0.500)
Be (0.000, 0.000, 0.000)

## Properties
As for the total magnetization: 0.0 μB/f.u. The formation energy is 1.24 eV per atom. The energy is -1.88 eV per atom. The calculation puts the density of states at the Fermi level at 12.89 states/eV per cell.

The following is a DFT calculation (PBE-GGA) of crystalline TbTlH8Rh2 at its relaxed geometry.

Cell lengths 9.056, 9.056, 9.056 Å; angles 26.10, 26.10, 26.10 degrees
Element x y z (fractional)
Tb (0.000, 0.000, 0.000)
Tl (0.500, 0.500, 0.500)
H (0.087, 0.524, 0.524)
H (0.188, 0.188, 0.188)
H (0.476, 0.476, 0.913)
H (0.476, 0.913, 0.476)
H (0.524, 0.087, 0.524)
H (0.524, 0.524, 0.087)
H (0.812, 0.812, 0.812)
H (0.913, 0.476, 0.476)
Rh (0.254, 0.254, 0.254)
Rh (0.746, 0.746, 0.746)

## Properties
As for the total magnetization: 0.0 μB/f.u. The energy is -4.03 eV per atom. The calculation puts the density of states at the Fermi level at 2.88 states/eV per cell.

The following is a DFT calculation (PBE-GGA) of crystalline Ir2PtCl at its relaxed geometry.

Cell lengths 2.851, 2.851, 8.135 Å; angles 90.00, 90.00, 90.00 degrees
Element x y z (fractional)
Ir (0.000, 0.000, 0.000)
Ir (0.500, 0.500, 0.210)
Pt (0.000, 0.000, 0.441)
Cl (0.500, 0.500, 0.769)

## Properties
As for the total magnetization: 0.0 μB/f.u. The calculation puts the formation energy without anion corrections at 460.0 meV/atom. The energy is -5.94 eV per atom. The calculation puts the density of states at the Fermi level at 2.84 states/eV per cell.

The following is a DFT calculation (PBE-GGA) of crystalline Sr2SnPd3 at its relaxed geometry.

Cell lengths 6.818, 6.818, 6.818 Å; angles 139.55, 130.36, 65.89 degrees
Element x y z (fractional)
Sr (0.182, 0.182, 0.000)
Sr (0.818, 0.818, 0.000)
Sn (0.500, 0.500, 0.000)
Pd (0.000, 0.500, 0.500)
Pd (0.380, 0.880, 0.500)
Pd (0.620, 0.120, 0.500)

## Properties
As for the total magnetization: 0.0 μB/f.u. The formation energy is -0.48 eV per atom. The energy is -4.30 eV per atom. The calculation puts the density of states at the Fermi level at 1.77 states/eV per cell.

The following is a DFT calculation (PBE-GGA) of crystalline YPaNiRh at its relaxed geometry.

Cell lengths 4.836, 4.836, 4.836 Å; angles 60.00, 60.00, 60.00 degrees
Element x y z (fractional)
Y (0.000, 0.000, 0.000)
Pa (0.500, 0.500, 0.500)
Ni (0.250, 0.250, 0.250)
Rh (0.750, 0.750, 0.750)

## Properties
As for the total magnetization: 0.0 μB/f.u. The formation energy is -0.43 eV per atom. The energy is -7.70 eV per atom. The calculation puts the density of states at the Fermi level at 4.85 states/eV per cell.

The following is a DFT calculation (PBE-GGA) of crystalline Gd2TmSc at its relaxed geometry.

Cell lengths 4.942, 4.942, 4.842 Å; angles 90.00, 90.00, 90.00 degrees
Element x y z (fractional)
Gd (0.000, 0.500, 0.000)
Gd (0.500, 0.000, 0.000)
Tm (0.000, 0.000, 0.500)
Sc (0.500, 0.500, 0.500)

## Properties
As for the total magnetization: 14.5 μB/f.u. The formation energy is 0.05 eV per atom. The energy is -9.69 eV per atom. The calculation puts the density of states at the Fermi level at 7.66 states/eV per cell.

The following is a DFT calculation (PBE-GGA) of crystalline TlSiAg at its relaxed geometry.

Cell lengths 4.200, 4.200, 7.680 Å; angles 90.00, 90.00, 90.00 degrees
Element x y z (fractional)
Tl (0.250, 0.750, 0.000)
Tl (0.750, 0.250, 0.000)
Si (0.250, 0.250, 0.361)
Si (0.750, 0.750, 0.639)
Ag (0.250, 0.250, 0.683)
Ag (0.750, 0.750, 0.317)

## Properties
As for the total magnetization: 0.0 μB/f.u. The calculation puts the formation energy without anion corrections at 564.5 meV/atom. The energy is -2.98 eV per atom. The calculation puts the density of states at the Fermi level at 2.98 states/eV per cell.

The following is a DFT calculation (PBE-GGA) of crystalline Tl2SnHgTe4 at its relaxed geometry.

Cell lengths 7.121, 7.121, 7.121 Å; angles 105.21, 105.21, 118.37 degrees
Element x y z (fractional)
Tl (0.000, 0.500, 0.500)
Tl (0.500, 0.000, 0.500)
Sn (0.000, 0.000, 0.000)
Hg (0.500, 0.500, 0.000)
Te (0.057, 0.057, 0.638)
Te (0.420, 0.420, 0.362)
Te (0.580, 0.943, 0.000)
Te (0.943, 0.580, 0.000)

## Properties
As for the total magnetization: 0.0 μB/f.u. The calculation puts the formation energy without anion corrections at -231.9 meV/atom. The energy is -2.93 eV per atom.

The following is a DFT calculation (PBE-GGA) of crystalline Hf4GeH at its relaxed geometry.

Cell lengths 6.797, 6.797, 6.797 Å; angles 102.89, 102.89, 123.63 degrees
Element x y z (fractional)
Hf (0.235, 0.283, 0.548)
Hf (0.235, 0.687, 0.952)
Hf (0.283, 0.235, 0.048)
Hf (0.313, 0.765, 0.548)
Hf (0.687, 0.235, 0.452)
Hf (0.717, 0.765, 0.952)
Hf (0.765, 0.313, 0.048)
Hf (0.765, 0.717, 0.452)
Ge (0.125, 0.875, 0.250)
Ge (0.875, 0.125, 0.750)
H (0.375, 0.625, 0.750)
H (0.625, 0.375, 0.250)

## Properties
As for the total magnetization: 0.0 μB/f.u. The energy is -8.13 eV per atom. The calculation puts the density of states at the Fermi level at 9.28 states/eV per cell.

The following is a DFT calculation (PBE-GGA) of crystalline Li3Hg5 at its relaxed geometry.

Cell lengths 3.454, 3.454, 13.538 Å; angles 90.00, 90.00, 90.00 degrees
Element x y z (fractional)
Li (0.000, 0.000, 0.000)
Li (0.500, 0.500, 0.381)
Li (0.500, 0.500, 0.619)
Hg (0.000, 0.000, 0.267)
Hg (0.000, 0.000, 0.500)
Hg (0.000, 0.000, 0.733)
Hg (0.500, 0.500, 0.117)
Hg (0.500, 0.500, 0.883)

## Properties
As for the total magnetization: 0.0 μB/f.u. The formation energy is -0.29 eV per atom. The energy is -1.19 eV per atom. The calculation puts the density of states at the Fermi level at 1.78 states/eV per cell.

The following is a DFT calculation (PBE-GGA) of crystalline Ca3ThSe4 at its relaxed geometry.

Cell lengths 7.319, 7.319, 4.136 Å; angles 90.00, 90.00, 108.85 degrees
Element x y z (fractional)
Ca (0.000, 0.000, 0.000)
Ca (0.000, 0.500, 0.500)
Ca (0.500, 0.000, 0.500)
Th (0.500, 0.500, 0.000)
Se (0.245, 0.245, 0.500)
Se (0.250, 0.750, 0.000)
Se (0.750, 0.250, 0.000)
Se (0.755, 0.755, 0.500)

## Properties
As for the total magnetization: 0.0 μB/f.u. The calculation puts the formation energy without anion corrections at -1829.8 meV/atom. The energy is -5.25 eV per atom. The calculation puts the density of states at the Fermi level at 3.28 states/eV per cell.

The following is a DFT calculation (PBE-GGA) of crystalline CePr8Y2 at its relaxed geometry.

Cell lengths 9.547, 9.547, 9.547 Å; angles 144.67, 128.68, 63.85 degrees
Element x y z (fractional)
Ce (0.000, 0.000, 0.000)
Pr (0.158, 0.866, 0.292)
Pr (0.164, 0.664, 0.500)
Pr (0.287, 0.500, 0.787)
Pr (0.426, 0.134, 0.292)
Pr (0.574, 0.866, 0.708)
Pr (0.713, 0.500, 0.213)
Pr (0.836, 0.336, 0.500)
Pr (0.842, 0.134, 0.708)
Y (0.300, 0.300, 0.000)
Y (0.700, 0.700, 0.000)

## Properties
As for the total magnetization: 1.1 μB/f.u. The formation energy is 0.11 eV per atom. The energy is -5.08 eV per atom. The calculation puts the density of states at the Fermi level at 19.95 states/eV per cell.

The following is a DFT calculation (PBE-GGA) of crystalline LaCeSe3 at its relaxed geometry.

Cell lengths 4.256, 7.171, 9.267 Å; angles 90.00, 90.00, 90.00 degrees
Element x y z (fractional)
La (0.250, 0.250, 0.151)
La (0.750, 0.750, 0.849)
Ce (0.250, 0.750, 0.398)
Ce (0.750, 0.250, 0.602)
Se (0.250, 0.521, 0.671)
Se (0.250, 0.750, 0.069)
Se (0.250, 0.979, 0.671)
Se (0.750, 0.021, 0.329)
Se (0.750, 0.250, 0.931)
Se (0.750, 0.479, 0.329)

## Properties
As for the total magnetization: 0.9 μB/f.u. The calculation puts the formation energy without anion corrections at -1894.4 meV/atom. The energy is -6.16 eV per atom. The calculation puts the density of states at the Fermi level at 13.05 states/eV per cell.